## A
Density functional theory data (PBE) for a relaxed structure of Ca2P2Au.

a = 4.213 Å, b = 5.940 Å, c = 9.852 Å
α = 76.51°, β = 77.64°, γ = 69.18°
Atoms (fractional coordinates):
1 Ca 0.907 0.277 0.910
2 Ca 0.703 0.251 0.344
3 Ca 0.297 0.749 0.656
4 Ca 0.093 0.723 0.090
5 Au 0.428 0.826 0.316
6 Au 0.572 0.174 0.684
7 P 0.333 0.201 0.134
8 P 0.667 0.799 0.866
9 P 0.947 0.679 0.427
10 P 0.053 0.321 0.573

Theoretical density = 5.1 g/cm³

---

## B
Density functional theory data (PBE) for a relaxed structure of Ca2P2Au.

a = 5.407 Å, b = 5.407 Å, c = 5.722 Å
α = 61.80°, β = 61.80°, γ = 90.00°
Last column: magnetic moment on the atom in μB.
Atoms (fractional coordinates):
1 Ca 0.750 0.250 0.500  0.04
2 Ca 0.250 0.750 0.500  0.04
3 Au 0.000 0.000 0.000  0.01
4 P 0.373 0.373 0.254  0.16
5 P 0.627 0.627 0.746  0.16

Theoretical density = 4.5 g/cm³

---

## C
Density functional theory data (PBE) for a relaxed structure of Ca2P2Au.

a = 7.159 Å, b = 7.159 Å, c = 4.099 Å
α = 90.00°, β = 90.00°, γ = 90.00°
Atoms (fractional coordinates):
1 P 0.890 0.610 0.000
2 P 0.610 0.110 0.000
3 P 0.390 0.890 0.000
4 P 0.110 0.390 0.000
5 Ca 0.684 0.816 0.500
6 Ca 0.316 0.184 0.500
7 Ca 0.184 0.684 0.500
8 Ca 0.816 0.316 0.500
9 Au 0.000 0.000 0.000
10 Au 0.500 0.500 0.000

Theoretical density = 5.4 g/cm³

---

## D
Density functional theory data (PBE) for a relaxed structure of Ca2P2Au.

a = 8.670 Å, b = 8.670 Å, c = 8.670 Å
α = 155.60°, β = 155.60°, γ = 34.77°
Atoms (fractional coordinates):
1 Au 0.000 0.000 0.000
2 P 0.250 0.750 0.500
3 P 0.750 0.250 0.500
4 Ca 0.613 0.613 0.000
5 Ca 0.387 0.387 0.000

Theoretical density = 5.1 g/cm³

---

How far above the most stable structure does each one sit? In meV/atom: A 0; B 301; C 70; D 287.